Record 1
12
Lattice="2.562 -7.690 0.000 2.562 7.690 0.000 0.000 0.000 7.236" Properties=species:S:1:pos:R:3 comment="PBE-GGA Y6Al5Ag, relaxed" e_form_ev_per_fu=-4.82 total_energy_ev_per_cell=-65.16 spacegroup="Cmmm, No. 65" pbc="T T T"
Y 0.000 0.000 1.805
Y 0.000 0.000 5.431
Y 2.562 2.563 1.808
Y 2.562 2.563 5.428
Y 2.562 -2.563 1.808
Y 2.562 -2.563 5.428
Al 2.562 5.159 3.618
Al 2.562 5.128 0.000
Al 2.562 0.000 0.000
Al 2.562 -5.128 0.000
Al 2.562 -5.159 3.618
Ag 2.562 0.000 3.618

***

Record 2
4
Lattice="3.231 0.000 0.000 0.000 5.255 0.000 -1.563 0.000 6.156" Properties=species:S:1:pos:R:3 comment="PBE-GGA LaZr2Sc, relaxed" e_form_ev_per_fu=0.69 total_energy_ev_per_cell=-27.66 spacegroup="P2/m, No. 10" polymorph_energy_ev_per_atom=0.076 pbc="T T T"
La 0.000 0.000 0.000
Zr -0.102 2.627 4.439
Zr 1.769 2.627 1.717
Sc 0.834 0.000 3.078

***

Record 3
5
Lattice="-1.864 1.864 6.083 1.864 -1.864 6.083 1.864 1.864 -6.083" Properties=species:S:1:pos:R:3 comment="PBE-GGA Zn2Ga2Cu, relaxed" e_form_ev_per_fu=1.11 total_energy_ev_per_cell=-11.59 spacegroup="I4/mmm, No. 139" polymorph_energy_ev_per_atom=0.168 pbc="T T T"
Zn 1.864 0.000 3.042
Zn 0.000 1.864 3.042
Ga 0.000 0.000 1.206
Ga 0.000 0.000 10.961
Cu 0.000 0.000 6.083

***

Record 4
10
Lattice="5.532 0.000 0.000 -2.766 4.791 0.000 0.000 0.000 7.446" Properties=species:S:1:pos:R:3 comment="PBE-GGA KBa2H6Rh, relaxed" total_energy_ev_per_cell=-36.56 spacegroup="P-3m1, No. 164" pbc="T T T"
K 0.000 0.000 0.000
Ba 0.000 3.194 2.476
Ba 2.766 1.597 4.969
H 0.000 1.396 4.706
H -1.557 4.093 4.706
H 1.209 0.698 2.740
H 1.557 4.093 4.706
H 4.323 0.698 2.740
H 2.766 3.394 2.740
Rh 0.000 0.000 3.723

***

Record 5
6
Lattice="-2.505 2.519 3.552 2.505 -2.519 3.552 2.505 2.519 -3.552" Properties=species:S:1:pos:R:3 comment="PBE-GGA TaCoMo, relaxed" e_form_ev_per_fu=-0.16 total_energy_ev_per_cell=-59.89 spacegroup="Imma, No. 74" polymorph_energy_ev_per_atom=0.088 pbc="T T T"
Ta 0.000 1.260 0.885
Ta 2.505 1.260 2.667
Co 2.505 0.000 0.000
Co 0.000 0.000 3.552
Mo 1.252 1.260 -1.776
Mo 1.252 -1.260 1.776

***

Record 6
5
Lattice="4.969 0.000 0.000 0.000 4.969 0.000 0.000 0.000 4.969" Properties=species:S:1:pos:R:3 comment="PBE-GGA Sc3InBr, relaxed" total_energy_ev_per_cell=-24.37 spacegroup="Pm-3m, No. 221" polymorph_energy_ev_per_atom=0.000 e_form_raw_ev_per_atom=-0.192 pbc="T T T"
Sc 0.000 0.000 2.484
Sc 0.000 2.484 0.000
Sc 2.484 0.000 0.000
In 2.484 2.484 2.484
Br 0.000 0.000 0.000

***

Record 7
4
Lattice="1.955 -3.615 0.000 1.955 3.615 0.000 0.000 0.000 6.560" Properties=species:S:1:pos:R:3 comment="PBE-GGA SrNiP2, relaxed" e_form_ev_per_fu=-1.29 total_energy_ev_per_cell=-19.58 spacegroup="Cmmm, No. 65" pbc="T T T"
Sr 0.000 0.000 0.000
Ni 0.000 0.000 3.280
P 1.955 0.000 2.180
P 1.955 0.000 4.380

***

Record 8
11
Lattice="3.228 -5.640 0.000 3.228 5.640 0.000 -2.133 0.000 6.874" Properties=species:S:1:pos:R:3 comment="PBE-GGA Na2Hf2US6, relaxed" total_energy_ev_per_cell=-74.66 spacegroup="C2/m, No. 12" e_form_raw_ev_per_atom=-1.461 pbc="T T T"
Na 3.228 3.791 0.000
Na 3.228 -3.791 0.000
Hf 2.161 1.874 3.437
Hf 2.161 -1.874 3.437
U -1.066 0.000 3.437
S 0.052 1.979 4.939
S 1.200 0.000 1.928
S 0.052 -1.979 4.939
S 4.270 1.979 1.935
S 3.122 0.000 4.946
S 4.270 -1.979 1.935

***

Record 9
3
Lattice="5.083 0.000 0.000 -2.541 4.402 0.000 0.000 0.000 4.097" Properties=species:S:1:pos:R:3 comment="PBE-GGA PmHoSb, relaxed" total_energy_ev_per_cell=-14.80 spacegroup="P3m1, No. 156" polymorph_energy_ev_per_atom=0.374 e_form_raw_ev_per_atom=-0.451 pbc="T T T"
Pm 0.000 0.000 0.000
Ho 2.541 1.467 1.953
Sb 0.000 2.934 2.663

***

Record 10
8
Lattice="-2.466 2.466 6.496 2.466 -2.466 6.496 2.466 2.466 -6.496" Properties=species:S:1:pos:R:3 comment="PBE-GGA BeSbPt2, relaxed" total_energy_ev_per_cell=-41.06 spacegroup="I-42d, No. 122" polymorph_energy_ev_per_atom=0.257 e_form_raw_ev_per_atom=-0.150 pbc="T T T"
Be 0.000 0.000 0.000
Be 0.000 2.466 3.248
Sb 2.466 0.000 3.248
Sb 0.000 0.000 6.496
Pt 3.700 0.813 -1.624
Pt 0.813 1.233 1.624
Pt -1.233 1.653 4.872
Pt 1.653 1.233 8.121

***

Record 11
5
Lattice="4.739 0.000 0.000 0.000 4.739 0.000 0.000 0.000 4.739" Properties=species:S:1:pos:R:3 comment="PBE-GGA Sb3OF, relaxed" total_energy_ev_per_cell=-20.05 spacegroup="Pm-3m, No. 221" polymorph_energy_ev_per_atom=0.000 e_form_raw_ev_per_atom=-0.171 pbc="T T T"
Sb 0.000 0.000 2.369
Sb 0.000 2.369 0.000
Sb 2.369 0.000 0.000
O 0.000 0.000 0.000
F 2.369 2.369 2.369

***

Record 12
4
Lattice="0.000 3.859 3.859 3.859 0.000 3.859 3.859 3.859 0.000" Properties=species:S:1:pos:R:3 comment="PBE-GGA CeThSnTe, relaxed" total_energy_ev_per_cell=-23.62 spacegroup="F-43m, No. 216" polymorph_energy_ev_per_atom=0.147 e_form_raw_ev_per_atom=-0.781 pbc="T T T"
Ce 0.000 0.000 0.000
Th 3.859 3.859 3.859
Sn 1.930 1.930 1.930
Te 5.789 5.789 5.789

***

Record 13
8
Lattice="-2.072 2.072 10.165 2.072 -2.072 10.165 2.072 2.072 -10.165" Properties=species:S:1:pos:R:3 comment="PBE-GGA CaTa2Nb, relaxed" e_form_ev_per_fu=4.42 total_energy_ev_per_cell=-62.72 spacegroup="I-42d, No. 122" polymorph_energy_ev_per_atom=0.411 pbc="T T T"
Ca 0.000 0.000 0.000
Ca 0.000 2.072 5.083
Ta 1.036 -0.953 7.624
Ta 1.118 1.036 2.541
Ta 1.036 3.025 -2.541
Ta 0.953 1.036 12.707
Nb 2.072 0.000 5.083
Nb 0.000 0.000 10.165

***

Record 14
6
Lattice="5.306 -2.350 0.000 5.306 2.350 0.000 -4.575 0.000 5.353" Properties=species:S:1:pos:R:3 comment="PBE-GGA PmZnAg, relaxed" e_form_ev_per_fu=-0.96 total_energy_ev_per_cell=-19.66 spacegroup="C2/m, No. 12" polymorph_energy_ev_per_atom=0.004 pbc="T T T"
Pm -0.982 0.000 1.505
Pm 7.019 0.000 3.848
Zn -0.412 0.000 4.692
Zn 6.449 0.000 0.661
Ag 2.149 0.000 1.544
Ag 3.888 0.000 3.809